La2MgSn: relaxed, GGA-PBE.

- Density: 5.4 g cm⁻³
- Raw total energy: -4.009 eV/atom
- Fermi-level density of states: 1.256 states/eV/atom
- ΔE_f: -0.1460 eV/atom
- Total magnetization: 0.00 μB/atom

a b c (Å): 8.9611 8.9611 7.1033
angles (deg): 50.89 50.89 90.00
With the nearest neighbours (Å) after each atom.
Sites, in units of the cell vectors:
Mg  0.5000  0.5000  0.0000  2 Sn 3.21, 4 La 3.32
Mg  0.2500  0.7500  0.5000  2 Sn 3.21, 4 La 3.32
Sn  0.0000  0.0000  0.0000  2 Mg 3.21, 4 La 3.22
Sn  0.7500  0.2500  0.5000  2 Mg 3.21, 4 La 3.22
La  0.6333  0.1250  0.2500  2 La 3.21, 2 Sn 3.22, 2 Mg 3.32
La  0.1167  0.6250  0.2500  2 La 3.21, 2 Sn 3.22, 2 Mg 3.32
La  0.3750  0.3667  0.7500  2 La 3.21, 2 Sn 3.22, 2 Mg 3.32
La  0.8750  0.8833  0.7500  2 La 3.21, 2 Sn 3.22, 2 Mg 3.32

---

NaPd2Se2: relaxed, GGA-PBE.

- Formation energy from raw total energies: -312 meV/atom
- Density: 6.9 g cm⁻³
- Raw total energy: -4.046 eV/atom
- Offset from the most stable computed form: 150 meV/atom
- Fermi-level density of states: 0.496 states/eV/atom
- Total magnetization: 0.00 μB/atom

a b c (Å): 7.6769 7.6769 3.2163
angles (deg): 90.00 90.00 90.00
With the nearest neighbours (Å) after each atom.
Sites, in units of the cell vectors:
Na  0.0000  0.0000  0.0000  4 Se 2.91, 2 Na 3.22
Na  0.5000  0.5000  0.0000  4 Se 2.91, 2 Na 3.22
Se  0.3472  0.8472  0.0000  2 Pd 2.55
Se  0.8472  0.6528  0.0000  2 Pd 2.55
Se  0.6528  0.1528  0.0000  2 Pd 2.55
Se  0.1528  0.3472  0.0000  2 Pd 2.55
Pd  0.1654  0.6654  0.5000  2 Se 2.55
Pd  0.6654  0.8346  0.5000  2 Se 2.55
Pd  0.8346  0.3346  0.5000  2 Se 2.55
Pd  0.3346  0.1654  0.5000  2 Se 2.55

---

BaAgMo2: relaxed, GGA-PBE.

- Density: 8.5 g cm⁻³
- Raw total energy: -5.445 eV/atom
- Offset from the most stable computed form: 639 meV/atom
- Fermi-level density of states: 1.164 states/eV/atom
- ΔE_f: 1.1643 eV/atom
- Total magnetization: 0.00 μB/atom

a b c (Å): 3.1316 4.9734 5.5117
angles (deg): 90.00 90.00 90.00
With the nearest neighbours (Å) after each atom.
Sites, in units of the cell vectors:
Ag  0.5000  0.0000  0.5000  4 Ba 2.94, 2 Ag 3.13, 4 Mo 3.17
Ba  0.0000  0.5000  0.5000  4 Ag 2.94, 2 Ba 3.13, 4 Mo 3.17
Mo  0.0000  0.0000  0.0000  6 Mo 2.94-3.13, 4 Ag 3.17
Mo  0.5000  0.5000  0.0000  6 Mo 2.94-3.13, 4 Ba 3.17